Below is K2SrHg2 at its PBEsol-relaxed geometry, with properties calculated at the SCAN level.

```
K2SrHg2
1.0
5.4428 0.0000 0.0000
0.0000 8.3771 0.0000
0.0000 0.0000 8.3771
Hg K Sr
4 4 2
Direct
0.0000 0.6241 0.1241
0.0000 0.3759 0.8759
0.0000 0.1241 0.3759
0.0000 0.8759 0.6241
0.5000 0.3330 0.1670
0.5000 0.1670 0.6670
0.5000 0.8330 0.3330
0.5000 0.6670 0.8330
0.0000 0.5000 0.5000
0.0000 0.0000 0.0000
```

Summary:
Crystal system   tetragonal
E_form   -0.3057 eV per atom
Magnetic moment   0.1 μB per cell
SG   P4/mbm, No. 127
Density of states at the Fermi level   5.81 states/eV/cell

Below is KSr2Hg at its PBEsol-relaxed geometry, with properties calculated at the SCAN level.

```
KSr2Hg
1.0
-1.3415 -4.1058 -4.2648
-1.9219 -5.5289 1.6075
-5.7753 -1.6035 -0.9594
Sr K Hg
2 1 1
Direct
0.7500 0.7500 0.7500
0.0000 0.0000 0.0000
0.2500 0.2500 0.2500
0.5000 0.5000 0.5000
```

Summary:
Crystal system   cubic
E_form   0.0357 eV per atom
Magnetic moment   0.0 μB per cell
SG   F-43m, No. 216
Density of states at the Fermi level   6.09 states/eV/cell

Below is KSr2Hg at its PBEsol-relaxed geometry, with properties calculated at the SCAN level.

```
KSr2Hg
1.0
4.0231 0.0000 0.0000
0.0000 5.6944 -0.0103
-2.0116 -2.8385 7.6083
Hg Sr K
1 2 1
Direct
0.4899 0.4902 0.9799
0.8246 0.3246 0.6492
0.0040 0.0040 0.0081
0.1814 0.6813 0.3629
```

Summary:
Crystal system   orthorhombic
E_form   -0.2099 eV per atom
Magnetic moment   0.0 μB per cell
SG   Imm2, No. 44
Density of states at the Fermi level   3.35 states/eV/cell

Below is K3SrHg at its PBEsol-relaxed geometry, with properties calculated at the SCAN level.

```
K3SrHg
1.0
-2.0321 2.5349 -5.7189
2.6653 -5.0891 -3.2029
-5.6593 -3.3070 0.5451
Sr Hg K
1 1 3
Direct
0.5000 0.5000 0.5000
0.0000 0.0000 0.0000
0.0000 0.0000 0.5000
0.5000 0.0000 0.0000
0.0000 0.5000 0.0000
```

Summary:
Crystal system   cubic
E_form   0.0074 eV per atom
Magnetic moment   0.0 μB per cell
SG   Pm-3m, No. 221
Density of states at the Fermi level   3.07 states/eV/cell

Below is KSr3Hg at its PBEsol-relaxed geometry, with properties calculated at the SCAN level.

```
KSr3Hg
1.0
-5.5427 -2.1924 2.1503
3.0686 -4.1258 3.7032
0.1188 4.2806 4.6706
Hg K Sr
1 1 3
Direct
0.0000 0.0000 0.0000
0.5000 0.5000 0.5000
0.0000 0.0000 0.5000
0.0000 0.5000 0.0000
0.5000 0.0000 0.0000
```

Summary:
Crystal system   cubic
E_form   -0.2457 eV per atom
Magnetic moment   0.0 μB per cell
SG   Pm-3m, No. 221
Density of states at the Fermi level   4.30 states/eV/cell

Below is KSr2Hg at its PBEsol-relaxed geometry, with properties calculated at the SCAN level.

```
KSr2Hg
1.0
-0.9604 -3.5249 1.8762
1.6030 -2.1077 -3.1393
9.2314 -0.0045 4.7167
Sr Hg K
2 1 1
Direct
0.5000 0.5000 0.3175
0.0000 0.0000 0.0270
0.0000 0.0000 0.4667
0.5000 0.5000 0.6889
```

Summary:
Crystal system   tetragonal
E_form   -0.2223 eV per atom
Magnetic moment   0.3 μB per cell
SG   P4mm, No. 99
Density of states at the Fermi level   3.42 states/eV/cell

Which uncorrected energy belongs to each record? In order, -35.359 -30.226 -30.471 -23.078 -28.910 -30.484 eV per atom.